CdCuSi: relaxed, PBE.

Results
Energy above the most stable polymorph in this dataset in meV/atom: 98

a b c (Å): 4.078 4.078 3.638
angles (deg): 90.00 90.00 120.00
Element x y z (fractional)
Cd: 0.000 0.000 0.000
Cu: 0.333 0.667 0.500
Si: 0.667 0.333 0.500

=====

Cd2CuSi: relaxed, PBE.

Results
Calculated total energy in eV per atom: -2.69

a b c (Å): 3.993 2.875 6.638
angles (deg): 90.02 90.00 90.00
Element x y z (fractional)
Cd: 0.000 0.625 0.987
Cd: 0.500 0.125 0.260
Cu: 0.000 0.125 0.624
Si: 0.500 0.625 0.629

=====

Number 1: total magnetic moment 0.0000 μB per atom. Number 2: total magnetic moment 0.0000 μB per atom.